The following is a PBE calculation of a geometry-optimized Zr2CoCl structure, from Alexandria.

Cell and atoms, written as POSCAR:
```
Zr2CoCl
1.0
3.2245 0.5845 0.0000
-0.5859 3.2243 0.0000
0.0000 0.0000 7.6424
Cl Zr Co
1 2 1
Cartesian
0.0000 0.0000 3.5477
1.3193 1.9044 1.8964
0.0000 0.0000 7.3620
1.3193 1.9044 6.2999
```

Spin magnetization   0.000 μB per atom
Total DFT energy (no corrections)   -27.10 eV per formula unit
Excess energy over the best structure of this formula in the dataset   312 meV/atom
ΔE_f (raw)   -1.05 eV/f.u.

---

The following is a PBE calculation of a geometry-optimized Zr2CoCl structure, from Alexandria.

Cell and atoms, written as POSCAR:
```
Zr2CoCl
1.0
3.6194 -0.0145 -0.0239
1.5350 3.2779 -0.0239
1.6178 1.0242 6.8277
Cl Co Zr
1 1 2
Cartesian
5.0791 3.2157 5.0850
1.6930 1.0719 1.6950
3.3427 2.1163 2.9656
5.1978 3.2908 0.3766
```

Spin magnetization   0.000 μB per atom
Total DFT energy (no corrections)   -28.35 eV per formula unit
Excess energy over the best structure of this formula in the dataset   0 meV/atom
ΔE_f (raw)   -2.30 eV/f.u.

---

The following is a PBE calculation of a geometry-optimized ZrCoCl2 structure, from Alexandria.

Cell and atoms, written as POSCAR:
```
ZrCoCl2
1.0
-0.0940 3.1615 -1.2505
-1.4036 -2.7711 -1.3850
-6.8698 1.4231 4.1146
Co Cl Zr
1 2 1
Cartesian
-2.4663 0.5510 -0.2891
-3.2967 0.6829 1.9746
-0.1382 0.0286 0.0827
-5.9012 1.2625 1.7682
```

Spin magnetization   0.460 μB per atom
Total DFT energy (no corrections)   -20.00 eV per formula unit
Excess energy over the best structure of this formula in the dataset   600 meV/atom
ΔE_f (raw)   -0.66 eV/f.u.

---

The following is a PBE calculation of a geometry-optimized ZrCoCl2 structure, from Alexandria.

Cell and atoms, written as POSCAR:
```
ZrCoCl2
1.0
5.6644 0.0731 0.0000
3.2470 4.6420 0.0000
-4.4557 -2.3576 2.5845
Cl Co Zr
2 1 1
Cartesian
0.0000 0.0000 0.0000
1.6235 2.3210 1.2922
4.4557 2.3576 0.0000
2.8322 0.0366 1.2922
```

Spin magnetization   0.232 μB per atom
Total DFT energy (no corrections)   -19.65 eV per formula unit
Excess energy over the best structure of this formula in the dataset   687 meV/atom
ΔE_f (raw)   -0.30 eV/f.u.

---

The following is a PBE calculation of a geometry-optimized Zr2CoCl structure, from Alexandria.

Cell and atoms, written as POSCAR:
```
Zr2CoCl
1.0
-4.1495 -2.0198 0.9103
-0.4211 -2.9850 3.6110
-2.4408 1.2581 3.8192
Cl Co Zr
1 1 2
Cartesian
-3.5057 -1.8733 4.1703
-5.2585 -2.8100 6.2554
0.0000 0.0000 0.0000
-1.7528 -0.9367 2.0851
```

Spin magnetization   0.481 μB per atom
Total DFT energy (no corrections)   -23.62 eV per formula unit
Excess energy over the best structure of this formula in the dataset   1183 meV/atom
ΔE_f (raw)   2.43 eV/f.u.

---

The following is a PBE calculation of a geometry-optimized ZrCoCl2 structure, from Alexandria.

Cell and atoms, written as POSCAR:
```
ZrCoCl2
1.0
5.5543 0.0000 0.0000
0.0000 5.5543 0.0000
2.7771 2.7771 5.0916
Co Cl Zr
2 4 2
Cartesian
2.7771 2.7771 0.0000
2.7771 5.5543 2.5458
3.8930 1.3886 1.2729
4.1657 4.4384 3.8187
1.6613 4.1657 1.2729
6.9429 6.6702 3.8187
5.5543 2.7771 2.5458
0.0000 0.0000 0.0000
```

Spin magnetization   0.000 μB per atom
Total DFT energy (no corrections)   -19.57 eV per formula unit
Excess energy over the best structure of this formula in the dataset   707 meV/atom
ΔE_f (raw)   -0.23 eV/f.u.

---

The following is a PBE calculation of a geometry-optimized ZrCoCl structure, from Alexandria.

Cell and atoms, written as POSCAR:
```
ZrCoCl
1.0
3.4302 0.0000 0.0000
-1.7151 2.9707 0.0000
0.0000 0.0000 17.3725
Zr Cl Co
3 3 3
Cartesian
0.0000 1.9804 2.2280
0.0000 0.0000 8.0189
1.7151 0.9902 13.8097
1.7151 0.9902 6.0793
0.0000 1.9804 11.8702
0.0000 0.0000 0.2885
1.7151 0.9902 3.7333
0.0000 1.9804 9.5241
0.0000 0.0000 15.3150
```

Spin magnetization   0.000 μB per atom
Total DFT energy (no corrections)   -18.89 eV per formula unit
ΔE_f (raw)   -1.39 eV/f.u.

---

The following is a PBE calculation of a geometry-optimized ZrCo2Cl structure, from Alexandria.

Cell and atoms, written as POSCAR:
```
ZrCo2Cl
1.0
3.5326 0.0000 0.0000
0.0000 3.5326 0.0000
0.0000 0.0000 5.0119
Zr Cl Co
1 1 2
Cartesian
1.7663 0.0000 2.5059
0.0000 1.7663 2.5059
1.7663 1.7663 0.0000
0.0000 0.0000 0.0000
```

Spin magnetization   0.724 μB per atom
Total DFT energy (no corrections)   -23.62 eV per formula unit
Excess energy over the best structure of this formula in the dataset   455 meV/atom
ΔE_f (raw)   0.99 eV/f.u.